Te2As | PBE-GGA | optimized geometry

- Fermi-level density of states: 0.325 states/eV/atom
- Formation energy without anion corrections: 0.071 eV per atom
- Energy above the most stable polymorph in this dataset: 31.5 meV/atom
- Density: 6.06 g/cm³

Cell lengths 4.101, 8.628, 10.234 Å; angles 90.00, 90.00, 90.00 degrees
Sites, in units of the cell vectors:
As1 0.250 0.161 0.087
As2 0.250 0.661 0.413
As3 0.750 0.339 0.587
As4 0.750 0.839 0.913
Te1 0.250 0.128 0.461
Te2 0.250 0.562 0.655
Te3 0.250 0.628 0.039
Te4 0.750 0.938 0.155
Te5 0.750 0.872 0.539
Te6 0.250 0.062 0.845
Te7 0.750 0.372 0.961
Te8 0.750 0.438 0.345